# Tb2ErPa (PBE-GGA, optimized geometry)
data_Tb2ErPa
_chemical_formula_sum 'Tb2 Er1 Pa1'
_cell_length_a 3.4106
_cell_length_b 3.4106
_cell_length_c 10.1653
_cell_angle_alpha 90.00
_cell_angle_beta 90.00
_cell_angle_gamma 90.00
_space_group_name_H-M_alt 'P 1'
_space_group_IT_number 1
loop_
_space_group_symop_operation_xyz
'x,y,z'
loop_
_atom_site_label
_atom_site_type_symbol
_atom_site_fract_x
_atom_site_fract_y
_atom_site_fract_z
Tb1 Tb 0.0000 0.0000 0.2346
Tb2 Tb 0.0000 0.0000 0.7654
Er1 Er 0.5000 0.5000 0.5000
Pa1 Pa 0.5000 0.5000 0.0000
# distance to the lowest polymorph of the same formula = 0.08 eV per formula unit
# DFT formation energy = 0.1344 eV/atom

=====

# Tb2ErPa (PBE-GGA, optimized geometry)
data_Tb2ErPa
_chemical_formula_sum 'Tb8 Er4 Pa4'
_cell_length_a 7.8551
_cell_length_b 7.8551
_cell_length_c 7.8551
_cell_angle_alpha 90.00
_cell_angle_beta 90.00
_cell_angle_gamma 90.00
_space_group_name_H-M_alt 'P 1'
_space_group_IT_number 1
loop_
_space_group_symop_operation_xyz
'x,y,z'
loop_
_atom_site_label
_atom_site_type_symbol
_atom_site_fract_x
_atom_site_fract_y
_atom_site_fract_z
Tb1 Tb 0.2500 0.2500 0.2500
Tb2 Tb 0.2500 0.2500 0.7500
Tb3 Tb 0.2500 0.7500 0.2500
Tb4 Tb 0.2500 0.7500 0.7500
Tb5 Tb 0.7500 0.2500 0.2500
Tb6 Tb 0.7500 0.2500 0.7500
Tb7 Tb 0.7500 0.7500 0.2500
Tb8 Tb 0.7500 0.7500 0.7500
Er1 Er 0.0000 0.0000 0.0000
Er2 Er 0.0000 0.5000 0.5000
Er3 Er 0.5000 0.0000 0.5000
Er4 Er 0.5000 0.5000 0.0000
Pa1 Pa 0.0000 0.0000 0.5000
Pa2 Pa 0.0000 0.5000 0.0000
Pa3 Pa 0.5000 0.0000 0.0000
Pa4 Pa 0.5000 0.5000 0.5000
# distance to the lowest polymorph of the same formula = 1.00 eV per formula unit
# DFT formation energy = 0.3651 eV/atom

=====

# TbEr2Pa (PBE-GGA, optimized geometry)
data_TbEr2Pa
_chemical_formula_sum 'Tb3 Er6 Pa3'
_cell_length_a 3.3162
_cell_length_b 3.3162
_cell_length_c 36.4815
_cell_angle_alpha 90.00
_cell_angle_beta 90.00
_cell_angle_gamma 120.00
_space_group_name_H-M_alt 'P 1'
_space_group_IT_number 1
loop_
_space_group_symop_operation_xyz
'x,y,z'
loop_
_atom_site_label
_atom_site_type_symbol
_atom_site_fract_x
_atom_site_fract_y
_atom_site_fract_z
Tb1 Tb 0.0000 0.0000 0.0000
Tb2 Tb 0.3333 0.6667 0.6667
Tb3 Tb 0.6667 0.3333 0.3333
Er1 Er 0.0000 0.0000 0.4125
Er2 Er 0.0000 0.0000 0.5875
Er3 Er 0.3333 0.6667 0.0792
Er4 Er 0.3333 0.6667 0.2541
Er5 Er 0.6667 0.3333 0.7459
Er6 Er 0.6667 0.3333 0.9208
Pa1 Pa 0.0000 0.0000 0.5000
Pa2 Pa 0.3333 0.6667 0.1667
Pa3 Pa 0.6667 0.3333 0.8333
# distance to the lowest polymorph of the same formula = 0.68 eV per formula unit
# DFT formation energy = 0.2760 eV/atom

=====

# Tb2ErPa (PBE-GGA, optimized geometry)
data_Tb2ErPa
_chemical_formula_sum 'Tb2 Er1 Pa1'
_cell_length_a 4.9176
_cell_length_b 4.9176
_cell_length_c 4.8754
_cell_angle_alpha 90.00
_cell_angle_beta 90.00
_cell_angle_gamma 90.00
_space_group_name_H-M_alt 'P 1'
_space_group_IT_number 1
loop_
_space_group_symop_operation_xyz
'x,y,z'
loop_
_atom_site_label
_atom_site_type_symbol
_atom_site_fract_x
_atom_site_fract_y
_atom_site_fract_z
Tb1 Tb 0.0000 0.5000 0.0000
Tb2 Tb 0.5000 0.0000 0.0000
Er1 Er 0.0000 0.0000 0.5000
Pa1 Pa 0.5000 0.5000 0.5000
# distance to the lowest polymorph of the same formula = 0.39 eV per formula unit
# DFT formation energy = 0.2136 eV/atom

=====

# TbErPa (PBE-GGA, optimized geometry)
data_TbErPa
_chemical_formula_sum 'Tb2 Er2 Pa2'
_cell_length_a 3.3958
_cell_length_b 3.3958
_cell_length_c 15.0510
_cell_angle_alpha 90.00
_cell_angle_beta 90.00
_cell_angle_gamma 90.00
_space_group_name_H-M_alt 'P 1'
_space_group_IT_number 1
loop_
_space_group_symop_operation_xyz
'x,y,z'
loop_
_atom_site_label
_atom_site_type_symbol
_atom_site_fract_x
_atom_site_fract_y
_atom_site_fract_z
Tb1 Tb 0.0000 0.0000 0.0000
Tb2 Tb 0.5000 0.5000 0.5000
Er1 Er 0.0000 0.0000 0.6859
Er2 Er 0.5000 0.5000 0.1859
Pa1 Pa 0.0000 0.0000 0.3419
Pa2 Pa 0.5000 0.5000 0.8419
# distance to the lowest polymorph of the same formula = 0.09 eV per formula unit
# DFT formation energy = 0.1474 eV/atom

=====

# TbEr2PaTc2 (PBE-GGA, optimized geometry)
data_TbEr2PaTc2
_chemical_formula_sum 'Tb2 Er4 Pa2 Tc4'
_cell_length_a 4.2549
_cell_length_b 8.4215
_cell_length_c 8.0477
_cell_angle_alpha 90.00
_cell_angle_beta 90.00
_cell_angle_gamma 90.00
_space_group_name_H-M_alt 'P 1'
_space_group_IT_number 1
loop_
_space_group_symop_operation_xyz
'x,y,z'
loop_
_atom_site_label
_atom_site_type_symbol
_atom_site_fract_x
_atom_site_fract_y
_atom_site_fract_z
Tb1 Tb 0.0000 0.0773 0.0000
Tb2 Tb 0.0000 0.9227 0.5000
Er1 Er 0.0000 0.3146 0.3604
Er2 Er 0.0000 0.6854 0.8604
Er3 Er 0.5000 0.4233 0.0432
Er4 Er 0.5000 0.5767 0.5432
Pa1 Pa 0.5000 0.1805 0.6886
Pa2 Pa 0.5000 0.8195 0.1886
Tc1 Tc 0.0000 0.3407 0.7288
Tc2 Tc 0.0000 0.6593 0.2288
Tc3 Tc 0.5000 0.1071 0.2719
Tc4 Tc 0.5000 0.8929 0.7719
# DFT formation energy = -0.1605 eV/atom

=====

no.,M_tot (μB/f.u.)
1,0.0
2,2.9
3,0.0
4,0.0
5,0.0
6,0.0